First-principles (PBE) data for a relaxed structure of NiOs2Se, as listed in Alexandria via LeMat-Bulk.

Structure (extended XYZ):
```
4
Lattice="-1.963 1.963 3.694 1.963 -1.963 3.694 1.963 1.963 -3.694" Properties=species:S:1:pos:R:3 pbc="T T T"
Ni 0.000 0.000 0.000
Os 1.963 0.000 1.847
Os 0.000 0.000 3.694
Se 0.000 1.963 1.847
```

E_form (uncorrected) (eV per atom): 0.669
Space-group type: I-4m2
Magnetization (μB/atom): 0.000
DFT total energy (eV per atom): -7.26

First-principles (PBE) data for a relaxed structure of Ti2ReSbIr, as listed in Alexandria via LeMat-Bulk.

Structure (extended XYZ):
```
5
Lattice="4.677 0.000 0.000 0.000 4.677 0.000 0.000 0.000 4.871" Properties=species:S:1:pos:R:3 pbc="T T T"
Ti 0.000 2.338 0.000
Ti 2.338 0.000 0.000
Re 0.000 0.000 2.436
Sb 2.338 2.338 2.436
Ir 2.338 2.338 0.000
```

E_form (uncorrected) (eV per atom): 1.032
Space-group type: P4/mmm
Magnetization (μB/atom): 0.000
DFT total energy (eV per atom): -7.21

First-principles (PBE) data for a relaxed structure of Dy3Er2Tm8, as listed in Alexandria via LeMat-Bulk.

Structure (extended XYZ):
```
13
Lattice="9.991 -3.757 0.000 9.991 3.757 0.000 -0.002 0.000 5.515" Properties=species:S:1:pos:R:3 pbc="T T T"
Dy 0.000 0.000 0.000
Dy 9.991 1.613 2.757
Dy 9.991 -1.613 2.757
Er 4.819 0.000 5.512
Er 15.163 0.000 0.003
Tm 2.664 0.000 2.757
Tm 7.801 1.594 5.514
Tm 6.638 0.000 2.755
Tm 12.180 1.594 0.001
Tm 7.801 -1.594 5.514
Tm 13.343 0.000 2.760
Tm 12.180 -1.594 0.001
Tm 17.318 0.000 2.758
```

E above lowest polymorph (meV/atom): 88.8
Space-group type: C2/m
Magnetization (μB/atom): 0.000
DFT total energy (eV per atom): -4.27
Formation enthalpy at 0 K (eV per atom): 0.25

First-principles (PBE) data for a relaxed structure of ZnCo2CuS, as listed in Alexandria via LeMat-Bulk.

Structure (extended XYZ):
```
5
Lattice="4.489 0.000 0.000 0.000 4.489 0.000 0.000 0.000 4.437" Properties=species:S:1:pos:R:3 pbc="T T T"
Zn 0.000 0.000 0.000
Co 0.000 2.245 0.000
Co 2.245 0.000 0.000
Cu 2.245 2.245 2.218
S 0.000 0.000 2.218
```

E_form (uncorrected) (eV per atom): 1.253
Space-group type: P4/mmm
Magnetization (μB/atom): 0.637
DFT total energy (eV per atom): -3.49

First-principles (PBE) data for a relaxed structure of HfCr3Au, as listed in Alexandria via LeMat-Bulk.

Structure (extended XYZ):
```
5
Lattice="4.849 0.000 0.000 0.000 4.849 0.000 0.000 0.000 4.849" Properties=species:S:1:pos:R:3 pbc="T T T"
Hf 0.000 0.000 0.000
Cr 0.000 2.424 2.424
Cr 2.424 0.000 2.424
Cr 2.424 2.424 0.000
Au 2.424 2.424 2.424
```

E above lowest polymorph (meV/atom): 0.0
Space-group type: Pm-3m
Magnetization (μB/atom): 2.194
DFT total energy (eV per atom): -7.01
Formation enthalpy at 0 K (eV per atom): 1.41

First-principles (PBE) data for a relaxed structure of LiAuS4, as listed in Alexandria via LeMat-Bulk.

Structure (extended XYZ):
```
12
Lattice="6.532 -2.875 0.000 6.532 2.875 0.000 -4.325 0.000 7.058" Properties=species:S:1:pos:R:3 pbc="T T T"
Li 3.288 1.507 5.293
Li 5.450 -1.507 1.764
Au 3.266 1.438 0.000
Au 1.103 -1.438 3.529
S 4.446 1.935 2.052
S 1.165 0.801 4.362
S 6.454 1.935 1.477
S 3.327 -0.801 0.834
S 5.410 0.801 6.224
S 2.283 -1.935 5.581
S 7.573 -0.801 2.695
S 4.292 -1.935 5.005
```

E_form (uncorrected) (eV per atom): -0.243
Space-group type: C2/c
Magnetization (μB/atom): 0.000
DFT total energy (eV per atom): -3.86

First-principles (PBE) data for a relaxed structure of Li2TbPr2In5, as listed in Alexandria via LeMat-Bulk.

Structure (extended XYZ):
```
20
Lattice="10.397 0.000 0.000 0.000 10.397 0.000 0.000 0.000 4.555" Properties=species:S:1:pos:R:3 pbc="T T T"
Li 1.207 3.991 0.000
Li 3.991 9.190 0.000
Li 6.406 1.207 0.000
Li 9.190 6.406 0.000
Tb 0.000 0.000 0.000
Tb 5.199 5.199 0.000
Pr 1.852 7.051 0.000
Pr 3.347 1.852 0.000
Pr 7.051 8.545 0.000
Pr 8.545 3.347 0.000
In 0.000 5.199 2.277
In 0.702 2.202 2.277
In 2.202 9.696 2.277
In 2.997 4.497 2.277
In 4.497 7.400 2.277
In 5.199 0.000 2.277
In 5.900 2.997 2.277
In 7.400 5.900 2.277
In 8.196 0.702 2.277
In 9.696 8.196 2.277
```

Space-group type: P4/mbm
Magnetization (μB/atom): 0.000
DFT total energy (eV per atom): -3.60
Formation enthalpy at 0 K (eV per atom): -0.43

First-principles (PBE) data for a relaxed structure of Pm8Ga2Ir, as listed in Alexandria via LeMat-Bulk.

Structure (extended XYZ):
```
11
Lattice="9.351 -2.535 0.000 9.351 2.535 0.000 -1.402 0.000 6.652" Properties=species:S:1:pos:R:3 pbc="T T T"
Pm 0.044 0.000 1.870
Pm 2.776 0.000 5.401
Pm 5.751 0.000 3.507
Pm 7.583 0.000 0.345
Pm 9.717 0.000 6.308
Pm 11.549 0.000 3.145
Pm 14.524 0.000 1.251
Pm 17.256 0.000 4.782
Ga 3.176 0.000 1.656
Ga 14.124 0.000 4.996
Ir 8.650 0.000 3.326
```

E above lowest polymorph (meV/atom): 0.0
Space-group type: C2/m
Magnetization (μB/atom): 0.000
DFT total energy (eV per atom): -5.16
Formation enthalpy at 0 K (eV per atom): -0.35

First-principles (PBE) data for a relaxed structure of Dy4Si2Cl5, as listed in Alexandria via LeMat-Bulk.

Structure (extended XYZ):
```
11
Lattice="11.109 -1.933 0.000 11.109 1.933 0.000 -1.319 0.000 7.807" Properties=species:S:1:pos:R:3 pbc="T T T"
Dy -0.013 0.000 2.176
Dy 6.774 0.000 4.280
Dy 14.125 0.000 3.526
Dy 20.913 0.000 5.631
Si 9.368 0.000 3.484
Si 11.531 0.000 4.323
Cl 2.742 0.000 1.633
Cl 4.033 0.000 5.187
Cl 11.109 0.000 0.000
Cl 16.867 0.000 2.620
Cl 18.158 0.000 6.173
```

E_form (uncorrected) (eV per atom): -1.493
Space-group type: C2/m
Magnetization (μB/atom): 0.000
DFT total energy (eV per atom): -4.99

First-principles (PBE) data for a relaxed structure of Sr2HgPt4Pb3, as listed in Alexandria via LeMat-Bulk.

Structure (extended XYZ):
```
10
Lattice="4.921 0.000 0.000 0.000 4.921 0.000 0.000 0.000 10.536" Properties=species:S:1:pos:R:3 pbc="T T T"
Sr 0.000 2.460 2.552
Sr 2.460 0.000 7.984
Hg 0.000 0.000 5.268
Pt 0.000 0.000 0.000
Pt 0.000 2.460 6.586
Pt 2.460 0.000 3.950
Pt 2.460 2.460 0.000
Pb 0.000 2.460 9.277
Pb 2.460 0.000 1.259
Pb 2.460 2.460 5.268
```

Space-group type: P-4m2
Magnetization (μB/atom): 0.000
DFT total energy (eV per atom): -4.36
Formation enthalpy at 0 K (eV per atom): -0.46

First-principles (PBE) data for a relaxed structure of NaCd5Hg4, as listed in Alexandria via LeMat-Bulk.

Structure (extended XYZ):
```
10
Lattice="8.388 -2.271 0.000 8.388 2.271 0.000 -2.224 0.000 6.309" Properties=species:S:1:pos:R:3 pbc="T T T"
Na 0.000 0.000 0.000
Cd -1.112 0.000 3.154
Cd 2.040 0.000 3.791
Cd 6.218 0.000 1.163
Cd 8.334 0.000 5.145
Cd 12.513 0.000 2.518
Hg 3.094 0.000 0.675
Hg 5.280 0.000 4.325
Hg 9.273 0.000 1.984
Hg 11.459 0.000 5.633
```

E above lowest polymorph (meV/atom): 0.0
Space-group type: C2/m
Magnetization (μB/atom): 0.000
DFT total energy (eV per atom): -0.75
Formation enthalpy at 0 K (eV per atom): -0.04

First-principles (PBE) data for a relaxed structure of Ac2HgGe4Rh3, as listed in Alexandria via LeMat-Bulk.

Structure (extended XYZ):
```
10
Lattice="4.472 0.000 0.000 0.000 4.472 0.000 0.000 0.000 10.413" Properties=species:S:1:pos:R:3 pbc="T T T"
Ac 0.000 2.236 2.492
Ac 2.236 0.000 7.921
Hg 0.000 0.000 5.206
Ge 0.000 0.000 0.000
Ge 0.000 2.236 6.714
Ge 2.236 0.000 3.699
Ge 2.236 2.236 0.000
Rh 0.000 2.236 9.200
Rh 2.236 0.000 1.212
Rh 2.236 2.236 5.206
```

Space-group type: P-4m2
Magnetization (μB/atom): 0.000
DFT total energy (eV per atom): -5.58
Formation enthalpy at 0 K (eV per atom): -0.67